Record 1
Ba5Zn4: relaxed, PBE-GGA.

Structure (CIF):
```
data_Ba5Zn4
_chemical_formula_sum 'Ba10 Zn8'
_cell_length_a 10.304
_cell_length_b 10.304
_cell_length_c 6.440
_cell_angle_alpha 90.00
_cell_angle_beta 90.00
_cell_angle_gamma 90.00
_symmetry_space_group_name_H-M 'I 4/m m m'
_symmetry_Int_Tables_number 139
_symmetry_space_group_name_Hall '-I 4 2'
loop_
_atom_site_label
_atom_site_fract_x
_atom_site_fract_y
_atom_site_fract_z
Ba1 0.000 0.000 0.000
Ba2 0.185 0.185 0.500
Zn1 0.000 0.373 0.000
```

The value obtained for the energy above the lowest structure with this stoichiometry is 244 meV/atom.

=====

Record 2
NaSrTlO3: relaxed, PBE-GGA.

Structure (CIF):
```
data_NaSrTlO3
_chemical_formula_sum 'Na2 Sr2 Tl2 O6'
_cell_length_a 7.016
_cell_length_b 3.769
_cell_length_c 9.435
_cell_angle_alpha 90.00
_cell_angle_beta 104.32
_cell_angle_gamma 90.00
_symmetry_space_group_name_H-M 'P 1 21/m 1'
_symmetry_Int_Tables_number 11
_symmetry_space_group_name_Hall '-P 2yb'
loop_
_atom_site_label
_atom_site_fract_x
_atom_site_fract_y
_atom_site_fract_z
Na1 0.129 0.250 0.105
Sr1 0.414 0.250 0.636
Tl1 0.080 0.750 0.362
O1 0.035 0.250 0.857
O2 0.165 0.750 0.592
O3 0.346 0.250 0.360
```

The value obtained for the raw formation energy is -1.459 eV/atom.

=====

Record 3
LiTcBi: relaxed, PBE-GGA.

Structure (CIF):
```
data_LiTcBi
_chemical_formula_sum 'Li4 Tc4 Bi4'
_cell_length_a 3.187
_cell_length_b 3.220
_cell_length_c 22.825
_cell_angle_alpha 90.00
_cell_angle_beta 90.00
_cell_angle_gamma 90.00
_symmetry_space_group_name_H-M 'A m m 2'
_symmetry_Int_Tables_number 38
_symmetry_space_group_name_Hall 'A 2 -2'
loop_
_atom_site_label
_atom_site_fract_x
_atom_site_fract_y
_atom_site_fract_z
Li1 0.000 0.000 0.000
Li2 0.000 0.000 0.173
Tc1 0.000 0.000 0.878
Tc2 0.500 0.000 0.433
Bi1 0.500 0.000 0.579
Bi2 0.500 0.000 0.769
```

The value obtained for the energy above the lowest structure with this stoichiometry is 9 meV/atom.

=====

Record 4
La2Cd6Pd3: relaxed, PBE-GGA.

Structure (CIF):
```
data_La2Cd6Pd3
_chemical_formula_sum 'La2 Cd6 Pd3'
_cell_length_a 8.3470
_cell_length_b 8.3470
_cell_length_c 4.3206
_cell_angle_alpha 90.00
_cell_angle_beta 90.00
_cell_angle_gamma 120.00
_symmetry_space_group_name_H-M 'P -6 2 m'
_symmetry_Int_Tables_number 189
_symmetry_space_group_name_Hall 'P -6 -2'
loop_
_atom_site_label
_atom_site_fract_x
_atom_site_fract_y
_atom_site_fract_z
La1 0.3333 0.6667 0.0000
Cd1 0.0000 0.2797 0.5000
Cd2 0.0000 0.7979 0.0000
Pd1 0.0000 0.6002 0.5000
```

The total energy comes out at -3.230 eV per atom.

=====

Record 5
Pm2DyZn12Ni3: relaxed, PBE-GGA.

Structure (CIF):
```
data_Pm2DyZn12Ni3
_chemical_formula_sum 'Pm6 Dy3 Zn36 Ni9'
_cell_length_a 7.7795
_cell_length_b 7.7795
_cell_length_c 20.7242
_cell_angle_alpha 90.00
_cell_angle_beta 90.00
_cell_angle_gamma 120.00
_symmetry_space_group_name_H-M 'R -3 m'
_symmetry_Int_Tables_number 166
_symmetry_space_group_name_Hall '-R 3 2"'
loop_
_atom_site_label
_atom_site_fract_x
_atom_site_fract_y
_atom_site_fract_z
Pm1 0.0000 0.0000 0.0944
Dy1 0.0000 0.0000 0.5000
Zn1 0.0754 0.5377 0.2828
Zn2 0.0985 0.5493 0.8863
Ni1 0.0000 0.5000 0.0000
```

The total energy comes out at -2.500 eV per atom.

=====

Record 6
LaOsSe2: relaxed, PBE-GGA.

Structure (CIF):
```
data_LaOsSe2
_chemical_formula_sum 'La4 Os4 Se8'
_cell_length_a 6.971
_cell_length_b 6.971
_cell_length_c 6.971
_cell_angle_alpha 90.00
_cell_angle_beta 90.00
_cell_angle_gamma 90.00
_symmetry_space_group_name_H-M 'F m -3 m'
_symmetry_Int_Tables_number 225
_symmetry_space_group_name_Hall '-F 4 2 3'
loop_
_atom_site_label
_atom_site_fract_x
_atom_site_fract_y
_atom_site_fract_z
La1 0.000 0.000 0.000
Os1 0.000 0.000 0.500
Se1 0.250 0.250 0.250
```

The value obtained for the raw formation energy is -0.240 eV/atom. The value obtained for the energy above the lowest structure with this stoichiometry is 461 meV/atom.

=====

Record 7
BaTaPb: relaxed, PBE-GGA.

Structure (CIF):
```
data_BaTaPb
_chemical_formula_sum 'Ba4 Ta4 Pb4'
_cell_length_a 7.692
_cell_length_b 7.692
_cell_length_c 7.692
_cell_angle_alpha 90.00
_cell_angle_beta 90.00
_cell_angle_gamma 90.00
_symmetry_space_group_name_H-M 'F -4 3 m'
_symmetry_Int_Tables_number 216
_symmetry_space_group_name_Hall 'F -4 2 3'
loop_
_atom_site_label
_atom_site_fract_x
_atom_site_fract_y
_atom_site_fract_z
Ba1 0.000 0.000 0.000
Ta1 0.250 0.250 0.750
Pb1 0.250 0.250 0.250
```

The value obtained for the energy above the lowest structure with this stoichiometry is 1003 meV/atom.

=====

Record 8
Zn3SbS: relaxed, PBE-GGA.

Structure (CIF):
```
data_Zn3SbS
_chemical_formula_sum 'Zn3 Sb1 S1'
_cell_length_a 5.107
_cell_length_b 5.107
_cell_length_c 5.107
_cell_angle_alpha 90.00
_cell_angle_beta 90.00
_cell_angle_gamma 90.00
_symmetry_space_group_name_H-M 'P m -3 m'
_symmetry_Int_Tables_number 221
_symmetry_space_group_name_Hall '-P 4 2 3'
loop_
_atom_site_label
_atom_site_fract_x
_atom_site_fract_y
_atom_site_fract_z
Zn1 0.000 0.000 0.500
Sb1 0.000 0.000 0.000
S1 0.500 0.500 0.500
```

The value obtained for the raw formation energy is 0.491 eV/atom. The value obtained for the energy above the lowest structure with this stoichiometry is 261 meV/atom.

=====

Record 9
PmB2AsO8: relaxed, PBE-GGA.

Structure (CIF):
```
data_PmB2AsO8
_chemical_formula_sum 'Pm2 B4 As2 O16'
_cell_length_a 7.514
_cell_length_b 4.881
_cell_length_c 6.965
_cell_angle_alpha 90.00
_cell_angle_beta 92.05
_cell_angle_gamma 90.00
_symmetry_space_group_name_H-M 'C 1 2/m 1'
_symmetry_Int_Tables_number 12
_symmetry_space_group_name_Hall '-C 2y'
loop_
_atom_site_label
_atom_site_fract_x
_atom_site_fract_y
_atom_site_fract_z
Pm1 0.000 0.000 0.000
B1 0.131 0.500 0.291
As1 0.000 0.000 0.500
O1 0.019 0.251 0.303
O2 0.197 0.500 0.099
O3 0.245 0.000 0.538
```

The value obtained for the raw formation energy is -1.891 eV/atom.

=====

Record 10
VBi2Au: relaxed, PBE-GGA.

Structure (CIF):
```
data_VBi2Au
_chemical_formula_sum 'V3 Bi6 Au3'
_cell_length_a 3.4684
_cell_length_b 3.4684
_cell_length_c 30.5149
_cell_angle_alpha 90.00
_cell_angle_beta 90.00
_cell_angle_gamma 120.00
_symmetry_space_group_name_H-M 'R -3 m'
_symmetry_Int_Tables_number 166
_symmetry_space_group_name_Hall '-R 3 2"'
loop_
_atom_site_label
_atom_site_fract_x
_atom_site_fract_y
_atom_site_fract_z
V1 0.0000 0.0000 0.0000
Bi1 0.0000 0.0000 0.0924
Au1 0.0000 0.0000 0.5000
```

The total energy comes out at -4.408 eV per atom.

=====

Record 11
Al2AgCl: relaxed, PBE-GGA.

Structure (CIF):
```
data_Al2AgCl
_chemical_formula_sum 'Al4 Ag2 Cl2'
_cell_length_a 3.058
_cell_length_b 5.553
_cell_length_c 8.999
_cell_angle_alpha 90.00
_cell_angle_beta 90.00
_cell_angle_gamma 90.00
_symmetry_space_group_name_H-M 'I m m m'
_symmetry_Int_Tables_number 71
_symmetry_space_group_name_Hall '-I 2 2'
loop_
_atom_site_label
_atom_site_fract_x
_atom_site_fract_y
_atom_site_fract_z
Al1 0.000 0.000 0.248
Ag1 0.000 0.500 0.000
Cl1 0.000 0.500 0.500
```

The value obtained for the raw formation energy is 0.040 eV/atom. The value obtained for the energy above the lowest structure with this stoichiometry is 271 meV/atom.

=====

Record 12
Li2InMo: relaxed, PBE-GGA.

Structure (CIF):
```
data_Li2InMo
_chemical_formula_sum 'Li8 In4 Mo4'
_cell_length_a 6.566
_cell_length_b 6.566
_cell_length_c 6.566
_cell_angle_alpha 90.00
_cell_angle_beta 90.00
_cell_angle_gamma 90.00
_symmetry_space_group_name_H-M 'F -4 3 m'
_symmetry_Int_Tables_number 216
_symmetry_space_group_name_Hall 'F -4 2 3'
loop_
_atom_site_label
_atom_site_fract_x
_atom_site_fract_y
_atom_site_fract_z
Li1 0.000 0.000 0.000
Li2 0.250 0.250 0.250
In1 0.250 0.250 0.750
Mo1 0.000 0.000 0.500
```

The total energy comes out at -4.006 eV per atom.

=====

Record 13
ScHgPb: relaxed, PBE-GGA.

Structure (CIF):
```
data_ScHgPb
_chemical_formula_sum 'Sc4 Hg4 Pb4'
_cell_length_a 3.464
_cell_length_b 5.458
_cell_length_c 16.535
_cell_angle_alpha 90.00
_cell_angle_beta 90.00
_cell_angle_gamma 90.00
_symmetry_space_group_name_H-M 'I m m m'
_symmetry_Int_Tables_number 71
_symmetry_space_group_name_Hall '-I 2 2'
loop_
_atom_site_label
_atom_site_fract_x
_atom_site_fract_y
_atom_site_fract_z
Sc1 0.000 0.000 0.168
Hg1 0.000 0.249 0.000
Pb1 0.000 0.000 0.349
```

The value obtained for the energy above the lowest structure with this stoichiometry is 170 meV/atom.

=====

Record 14
LaNd3C: relaxed, PBE-GGA.

Structure (CIF):
```
data_LaNd3C
_chemical_formula_sum 'La1 Nd3 C1'
_cell_length_a 5.265
_cell_length_b 5.265
_cell_length_c 5.265
_cell_angle_alpha 90.00
_cell_angle_beta 90.00
_cell_angle_gamma 90.00
_symmetry_space_group_name_H-M 'P m -3 m'
_symmetry_Int_Tables_number 221
_symmetry_space_group_name_Hall '-P 4 2 3'
loop_
_atom_site_label
_atom_site_fract_x
_atom_site_fract_y
_atom_site_fract_z
La1 0.000 0.000 0.000
Nd1 0.000 0.500 0.500
C1 0.500 0.500 0.500
```

The total energy comes out at -5.589 eV per atom.

=====

Record 15
In2Hg2Pt: relaxed, PBE-GGA.

Structure (CIF):
```
data_In2Hg2Pt
_chemical_formula_sum 'In4 Hg4 Pt2'
_cell_length_a 7.134
_cell_length_b 7.134
_cell_length_c 5.060
_cell_angle_alpha 90.00
_cell_angle_beta 90.00
_cell_angle_gamma 90.00
_symmetry_space_group_name_H-M 'P 4/m b m'
_symmetry_Int_Tables_number 127
_symmetry_space_group_name_Hall '-P 4 2ab'
loop_
_atom_site_label
_atom_site_fract_x
_atom_site_fract_y
_atom_site_fract_z
In1 0.164 0.336 0.000
Hg1 0.158 0.658 0.500
Pt1 0.000 0.000 0.000
```

The value obtained for the energy above the lowest structure with this stoichiometry is 0 meV/atom.

=====

Record 16
SmCd2B2O6: relaxed, PBE-GGA.

Structure (CIF):
```
data_SmCd2B2O6
_chemical_formula_sum 'Sm1 Cd2 B2 O6'
_cell_length_a 5.2161
_cell_length_b 5.2161
_cell_length_c 7.1447
_cell_angle_alpha 90.00
_cell_angle_beta 90.00
_cell_angle_gamma 120.00
_symmetry_space_group_name_H-M 'P -3'
_symmetry_Int_Tables_number 147
_symmetry_space_group_name_Hall '-P 3'
loop_
_atom_site_label
_atom_site_fract_x
_atom_site_fract_y
_atom_site_fract_z
Sm1 0.0000 0.0000 0.0000
Cd1 0.3333 0.6667 0.3383
B1 0.3333 0.6667 0.7975
O1 0.0796 0.6896 0.7989
```

The value obtained for the raw formation energy is -2.111 eV/atom.

=====

Record 17
LiP2W: relaxed, PBE-GGA.

Structure (CIF):
```
data_LiP2W
_chemical_formula_sum 'Li4 P8 W4'
_cell_length_a 5.966
_cell_length_b 5.966
_cell_length_c 5.966
_cell_angle_alpha 90.00
_cell_angle_beta 90.00
_cell_angle_gamma 90.00
_symmetry_space_group_name_H-M 'F -4 3 m'
_symmetry_Int_Tables_number 216
_symmetry_space_group_name_Hall 'F -4 2 3'
loop_
_atom_site_label
_atom_site_fract_x
_atom_site_fract_y
_atom_site_fract_z
Li1 0.000 0.000 0.000
P1 0.000 0.000 0.500
P2 0.250 0.250 0.750
W1 0.250 0.250 0.250
```

The value obtained for the energy above the lowest structure with this stoichiometry is 832 meV/atom.

=====

Record 18
Pm2ErHg7: relaxed, PBE-GGA.

Structure (CIF):
```
data_Pm2ErHg7
_chemical_formula_sum 'Pm2 Er1 Hg7'
_cell_length_a 4.9974
_cell_length_b 4.9974
_cell_length_c 12.3050
_cell_angle_alpha 90.00
_cell_angle_beta 90.00
_cell_angle_gamma 120.00
_symmetry_space_group_name_H-M 'P 3 m 1'
_symmetry_Int_Tables_number 156
_symmetry_space_group_name_Hall 'P 3 -2"'
loop_
_atom_site_label
_atom_site_fract_x
_atom_site_fract_y
_atom_site_fract_z
Pm1 0.0000 0.0000 0.0000
Pm2 0.3333 0.6667 0.6748
Er1 0.6667 0.3333 0.3166
Hg1 0.0000 0.0000 0.2452
Hg2 0.0000 0.0000 0.4986
Hg3 0.0000 0.0000 0.7567
Hg4 0.3333 0.6667 0.1299
Hg5 0.3333 0.6667 0.4008
Hg6 0.6667 0.3333 0.5798
Hg7 0.6667 0.3333 0.8640
```

The total energy comes out at -1.918 eV per atom.

=====

Record 19
BaTlHg2Au2: relaxed, PBE-GGA.

Structure (CIF):
```
data_BaTlHg2Au2
_chemical_formula_sum 'Ba1 Tl1 Hg2 Au2'
_cell_length_a 5.0503
_cell_length_b 5.0503
_cell_length_c 7.4716
_cell_angle_alpha 90.00
_cell_angle_beta 90.00
_cell_angle_gamma 120.00
_symmetry_space_group_name_H-M 'P -3 m 1'
_symmetry_Int_Tables_number 164
_symmetry_space_group_name_Hall '-P 3 2"'
loop_
_atom_site_label
_atom_site_fract_x
_atom_site_fract_y
_atom_site_fract_z
Ba1 0.0000 0.0000 0.0000
Tl1 0.0000 0.0000 0.5000
Hg1 0.3333 0.6667 0.2820
Au1 0.3333 0.6667 0.7224
```

The total energy comes out at -2.247 eV per atom.

=====

Record 20
Ag2MoOs: relaxed, PBE-GGA.

Structure (CIF):
```
data_Ag2MoOs
_chemical_formula_sum 'Ag2 Mo1 Os1'
_cell_length_a 2.690
_cell_length_b 4.974
_cell_length_c 4.908
_cell_angle_alpha 90.00
_cell_angle_beta 94.76
_cell_angle_gamma 90.00
_symmetry_space_group_name_H-M 'P 1 2/m 1'
_symmetry_Int_Tables_number 10
_symmetry_space_group_name_Hall '-P 2y'
loop_
_atom_site_label
_atom_site_fract_x
_atom_site_fract_y
_atom_site_fract_z
Ag1 0.239 0.000 0.250
Mo1 0.500 0.500 0.000
Os1 0.000 0.500 0.500
```

The value obtained for the energy above the lowest structure with this stoichiometry is 393 meV/atom.